[1]
A plane-wave DFT calculation with PBE-GGA was carried out for an optimized crystal structure of CeSmEuCd.

Cell lengths 5.5621, 5.5621, 5.5621 Å; angles 60.00, 60.00, 60.00 degrees
Last column: nearest neighbours and their distance in Å.
Fractional coordinates of all 4 atoms:
Sm 0.0000 0.0000 0.0000  4 Cd 3.41, 4 Eu 3.41
Cd 0.7500 0.7500 0.7500  4 Sm 3.41, 4 Ce 3.41
Eu 0.2500 0.2500 0.2500  4 Sm 3.41, 4 Ce 3.41
Ce 0.5000 0.5000 0.5000  4 Eu 3.41, 4 Cd 3.41

Results
**Final energy**: -5.40 eV per atom
**Volume**: 30.419 Å³/atom
**Symmetry**: No. 216
**Size of the total moment**: 6.32 μB/cell
**Energy of formation from the pure elements**: 0.066 eV per atom

***

[2]
A plane-wave DFT calculation with PBE-GGA was carried out for an optimized crystal structure of Gd2GaSi.

Cell lengths 5.0596, 5.0596, 5.0596 Å; angles 60.00, 60.00, 60.00 degrees
Last column: nearest neighbours and their distance in Å.
Fractional coordinates of all 4 atoms:
Ga 0.0000 0.0000 0.0000  8 Gd 3.10
Gd 0.7500 0.7500 0.7500  4 Ga 3.10, 4 Si 3.10
Gd 0.2500 0.2500 0.2500  4 Si 3.10, 4 Ga 3.10
Si 0.5000 0.5000 0.5000  8 Gd 3.10

Results
**Final energy**: -9.67 eV per atom
**Volume**: 22.897 Å³/atom
**Symmetry**: No. 225
**Energy relative to the elements, uncorrected**: -0.5195 eV/atom
**Size of the total moment**: 14.09 μB/cell
**Energy relative to the lowest polymorph listed for this composition**: 0.028 eV per atom

***

[3]
A plane-wave DFT calculation with PBE-GGA was carried out for an optimized crystal structure of Ac12ZnGe7.

Cell lengths 9.8567, 9.8567, 9.8567 Å; angles 110.04, 110.04, 110.04 degrees
Last column: nearest neighbours and their distance in Å.
Fractional coordinates of all 20 atoms:
Ge 0.7413 0.9687 0.0555  1 Zn 2.73, 2 Ge 3.02
Ge 0.9687 0.0555 0.7413  1 Zn 2.73, 2 Ge 3.02
Ge 0.0555 0.7413 0.9687  1 Zn 2.73, 2 Ge 3.02
Ge 0.9445 0.2587 0.0313  1 Zn 2.73, 2 Ge 3.02
Ge 0.0313 0.9445 0.2587  1 Zn 2.73, 2 Ge 3.02
Ge 0.2587 0.0313 0.9445  1 Zn 2.73, 2 Ge 3.02
Ge 0.5000 0.5000 0.5000  6 Ac 3.29
Ac 0.2595 0.1136 0.6568  3 Ge 3.17-3.21
Ac 0.8864 0.3432 0.7405  3 Ge 3.17-3.21
Ac 0.1136 0.6568 0.2595  3 Ge 3.17-3.21
Ac 0.8965 0.6800 0.5972  4 Ge 3.18-3.39
Ac 0.1035 0.3200 0.4028  4 Ge 3.18-3.39
Ac 0.6800 0.5972 0.8965  4 Ge 3.18-3.39
Ac 0.7405 0.8864 0.3432  3 Ge 3.17-3.21
Ac 0.3432 0.7405 0.8864  3 Ge 3.17-3.21
Ac 0.4028 0.1035 0.3200  4 Ge 3.18-3.39
Ac 0.6568 0.2595 0.1136  3 Ge 3.17-3.21
Ac 0.5972 0.8965 0.6800  4 Ge 3.18-3.39
Ac 0.3200 0.4028 0.1035  4 Ge 3.18-3.39
Zn 0.0000 0.0000 0.0000  6 Ge 2.73

Results
**Final energy**: -4.52 eV per atom
**Volume**: 36.064 Å³/atom
**Symmetry**: No. 148
**Size of the total moment**: 0.00 μB/cell
**Energy of formation from the pure elements**: -0.371 eV per atom

***

[4]
A plane-wave DFT calculation with PBE-GGA was carried out for an optimized crystal structure of InFeOs2.

Cell lengths 5.4632, 5.4632, 5.4632 Å; angles 150.06, 131.07, 58.43 degrees
Last column: nearest neighbours and their distance in Å.
Fractional coordinates of all 4 atoms:
In 0.7500 0.2500 0.5000  4 Fe 2.67, 2 In 2.82
Fe 0.2500 0.7500 0.5000  4 Os 2.52, 4 In 2.67, 2 Fe 2.82
Os 0.0308 0.0308 0.0000  2 Fe 2.52, 6 Os 2.73-2.82
Os 0.4692 0.4692 0.0000  2 Fe 2.52, 6 Os 2.73-2.82

Results
**Final energy**: -7.97 eV per atom
**Volume**: 15.225 Å³/atom
**Symmetry**: No. 71
**Size of the total moment**: 2.21 μB/cell
**Energy of formation from the pure elements**: 0.444 eV per atom

***

[5]
A plane-wave DFT calculation with PBE-GGA was carried out for an optimized crystal structure of CaTb2Rh.

Cell lengths 3.5377, 3.5377, 9.2033 Å; angles 90.00, 90.00, 90.00 degrees
Last column: nearest neighbours and their distance in Å.
Fractional coordinates of all 4 atoms:
Ca 0.5000 0.5000 0.5000  4 Ca 3.54, 8 Tb 3.91
Tb 0.0000 0.0000 0.8259  4 Rh 2.97, 1 Tb 3.21
Tb 0.0000 0.0000 0.1741  4 Rh 2.97, 1 Tb 3.21
Rh 0.5000 0.5000 0.0000  8 Tb 2.97

Results
**Final energy**: -5.04 eV per atom
**Volume**: 28.796 Å³/atom
**Symmetry**: No. 123
**Size of the total moment**: 0.00 μB/cell
**Energy relative to the lowest polymorph listed for this composition**: 0.004 eV per atom
**Energy of formation from the pure elements**: -0.386 eV per atom

***

[6]
A plane-wave DFT calculation with PBE-GGA was carried out for an optimized crystal structure of CrIrRu3.

Cell lengths 3.7839, 8.0591, 6.5709 Å; angles 122.88, 125.10, 76.45 degrees
Last column: nearest neighbours and their distance in Å.
Fractional coordinates of all 10 atoms:
Cr 0.9503 0.7965 0.3484  9 Ru 2.63-2.67, 2 Ir 2.68-2.70, 1 Cr 2.74
Cr 0.0497 0.2035 0.6516  9 Ru 2.63-2.67, 2 Ir 2.68-2.70, 1 Cr 2.74
Ir 0.5503 0.1996 0.1502  2 Cr 2.68-2.70, 1 Ir 2.68, 9 Ru 2.69-2.72
Ir 0.4497 0.8004 0.8498  2 Cr 2.68-2.70, 1 Ir 2.68, 9 Ru 2.69-2.72
Ru 0.8452 0.3992 0.0446  7 Ru 2.62-2.76, 3 Cr 2.66-2.67, 2 Ir 2.69
Ru 0.7396 0.9996 0.7385  4 Ru 2.57-2.81, 4 Cr 2.66-2.67, 4 Ir 2.71-2.72
Ru 0.1548 0.6008 0.9554  7 Ru 2.62-2.76, 3 Cr 2.66-2.67, 2 Ir 2.69
Ru 0.6430 0.6042 0.4454  7 Ru 2.62-2.76, 2 Cr 2.63, 3 Ir 2.69-2.72
Ru 0.2604 0.0004 0.2615  4 Ru 2.57-2.81, 4 Cr 2.66-2.67, 4 Ir 2.71-2.72
Ru 0.3570 0.3958 0.5546  7 Ru 2.62-2.76, 2 Cr 2.63, 3 Ir 2.69-2.72

Results
**Final energy**: -9.23 eV per atom
**Volume**: 13.681 Å³/atom
**Symmetry**: No. 2
**Size of the total moment**: 0.56 μB/cell
**Energy relative to the lowest polymorph listed for this composition**: 0.000 eV per atom
**Energy of formation from the pure elements**: 0.029 eV per atom